# Rb2NpV3F12 (GGA+U, optimized geometry)
# - total energy (eV per atom) = -6.24
# - spin magnetization (μB per formula unit) = 12.0
data_Rb2NpV3F12
_chemical_formula_sum 'Rb6 Np3 V9 F36'
_cell_length_a 7.7661
_cell_length_b 7.7661
_cell_length_c 17.5089
_cell_angle_alpha 90.00
_cell_angle_beta 90.00
_cell_angle_gamma 120.00
_symmetry_space_group_name_H-M 'R -3 m'
_symmetry_Int_Tables_number 166
_symmetry_space_group_name_Hall '-R 3 2"'
loop_
_atom_site_label
_atom_site_type_symbol
_atom_site_fract_x
_atom_site_fract_y
_atom_site_fract_z
Rb1 Rb 0.0000 0.0000 0.1156
Np1 Np 0.0000 0.0000 0.5000
V1 V 0.0000 0.5000 0.0000
F1 F 0.0062 0.5031 0.1195
F2 F 0.0814 0.5407 0.3179